1.
A relaxed Ce2NdCo2Ge2 crystal, computed with PBE.

Properties
Fermi-level density of states (states/eV/atom): 0.720
Calculated total energy (eV per atom): -6.271
Space group: No. 166
Formation enthalpy at 0 K (meV/atom): -545

Cell: 9.0883 9.0883 9.0883 Å, 27.18 27.18 27.18°
Last column: nearest neighbours and their distance in Å.
Atoms (fractional coordinates):
Ce (0.1387, 0.1387, 0.1387)  3 Co 2.74, 3 Ce 2.87, 3 Ge 3.02
Ce (0.8613, 0.8613, 0.8613)  3 Co 2.74, 3 Ce 2.87, 3 Ge 3.02
Nd (0.0000, 0.0000, 0.0000)  6 Ge 3.11, 6 Co 3.47
Co (0.4262, 0.4262, 0.4262)  3 Ge 2.53, 3 Ce 2.74
Co (0.5738, 0.5738, 0.5738)  3 Ge 2.53, 3 Ce 2.74
Ge (0.2612, 0.2612, 0.2612)  3 Co 2.53
Ge (0.7388, 0.7388, 0.7388)  3 Co 2.53


2.
A relaxed Ce2Co3Ni12Ge crystal, computed with PBE.

Properties
Fermi-level density of states (states/eV/atom): 1.245
Calculated total energy (eV per atom): -5.771
Space group: No. 166
Formation enthalpy at 0 K (meV/atom): 184

Cell: 9.0177 9.0177 9.0177 Å, 38.81 38.81 38.81°
Last column: nearest neighbours and their distance in Å.
Atoms (fractional coordinates):
Ce (0.1556, 0.1556, 0.1556)  6 Ni 2.83-2.99
Ce (0.8444, 0.8444, 0.8444)  6 Ni 2.83-2.99
Co (0.0000, 0.5000, 0.5000)  6 Ni 2.30-2.42
Co (0.5000, 0.0000, 0.5000)  6 Ni 2.30-2.42
Co (0.5000, 0.5000, 0.0000)  6 Ni 2.30-2.42
Ni (0.0815, 0.0815, 0.6908)  2 Co 2.30, 4 Ni 2.34-2.36
Ni (0.0815, 0.6908, 0.0815)  2 Co 2.30, 4 Ni 2.34-2.36
Ni (0.1422, 0.5735, 0.5736)  1 Ge 2.30, 2 Ni 2.36, 1 Co 2.42
Ni (0.3092, 0.9185, 0.9185)  2 Co 2.30, 4 Ni 2.34-2.36
Ni (0.4264, 0.4264, 0.8578)  1 Ge 2.30, 2 Ni 2.36, 1 Co 2.42
Ni (0.4264, 0.8578, 0.4264)  1 Ge 2.30, 2 Ni 2.36, 1 Co 2.42
Ni (0.5735, 0.1422, 0.5735)  1 Ge 2.30, 2 Ni 2.36, 1 Co 2.42
Ni (0.5735, 0.5735, 0.1422)  1 Ge 2.30, 2 Ni 2.36, 1 Co 2.42
Ni (0.6908, 0.0815, 0.0815)  2 Co 2.30, 4 Ni 2.34-2.36
Ni (0.8578, 0.4265, 0.4265)  1 Ge 2.30, 2 Ni 2.36, 1 Co 2.42
Ni (0.9185, 0.3092, 0.9185)  2 Co 2.30, 4 Ni 2.34-2.36
Ni (0.9185, 0.9185, 0.3092)  2 Co 2.30, 4 Ni 2.34-2.36
Ge (0.5000, 0.5000, 0.5000)  6 Ni 2.30